#w
! YHoErZr, optimized geometry, DFT GGA-PBE; values from VASP
&SYSTEM
  ibrav = 0, nat = 4, ntyp = 4
/
ATOMIC_SPECIES
Y 88.91 Y.upf
Ho 164.93 Ho.upf
Er 167.26 Er.upf
Zr 91.22 Zr.upf
ATOMIC_POSITIONS crystal
Y 0.120 0.120 0.240
Ho 0.370 0.870 0.740
Er 0.620 0.620 0.239
Zr 0.870 0.370 0.740
CELL_PARAMETERS angstrom
-0.966 -0.021 -4.762
2.676 -4.026 -0.525
-4.784 -0.693 3.453
! Space group: No. 119

#x
! YHoErZr, optimized geometry, DFT GGA-PBE; values from VASP
&SYSTEM
  ibrav = 0, nat = 4, ntyp = 4
/
ATOMIC_SPECIES
Y 88.91 Y.upf
Ho 164.93 Ho.upf
Zr 91.22 Zr.upf
Er 167.26 Er.upf
ATOMIC_POSITIONS crystal
Y 0.750 0.750 0.750
Ho 0.500 0.500 0.500
Zr 0.250 0.250 0.250
Er 0.000 0.000 0.000
CELL_PARAMETERS angstrom
5.490 0.000 0.000
2.745 4.754 0.000
2.745 1.585 4.483
! Space group: No. 216

We find #w to be the most stable, with the next structure 120 meV per atom higher.

#w
! HoEr2Zn, optimized geometry, DFT GGA-PBE; values from VASP
&SYSTEM
  ibrav = 0, nat = 4, ntyp = 3
/
ATOMIC_SPECIES
Ho 164.93 Ho.upf
Er 167.26 Er.upf
Zn 65.41 Zn.upf
ATOMIC_POSITIONS crystal
Ho 0.500 0.500 0.499
Er 0.073 0.073 0.782
Er 0.261 0.261 0.217
Zn 0.666 0.666 0.001
CELL_PARAMETERS angstrom
3.566 0.000 0.000
1.783 3.088 0.000
1.783 1.029 10.121
! Space group: No. 160

#x
! HoEr2Zn, optimized geometry, DFT GGA-PBE; values from VASP
&SYSTEM
  ibrav = 0, nat = 4, ntyp = 3
/
ATOMIC_SPECIES
Zn 65.41 Zn.upf
Ho 164.93 Ho.upf
Er 167.26 Er.upf
ATOMIC_POSITIONS crystal
Zn 0.500 0.500 0.500
Ho 0.500 0.000 0.000
Er 0.000 0.000 0.500
Er 0.000 0.500 0.000
CELL_PARAMETERS angstrom
4.706 0.000 0.000
0.000 4.707 0.000
0.000 0.000 4.707
! Space group: No. 123

#y
! HoEr2Zn, optimized geometry, DFT GGA-PBE; values from VASP
&SYSTEM
  ibrav = 0, nat = 4, ntyp = 3
/
ATOMIC_SPECIES
Zn 65.41 Zn.upf
Ho 164.93 Ho.upf
Er 167.26 Er.upf
ATOMIC_POSITIONS crystal
Zn 0.500 0.500 0.000
Ho 0.500 0.500 0.500
Er 0.000 0.000 0.793
Er 0.000 0.000 0.207
CELL_PARAMETERS angstrom
3.527 0.000 0.000
0.000 3.527 0.000
0.000 0.000 8.550
! Space group: No. 123

We find #y to be the most stable, with the next structure 100 meV per atom higher.

#w
! Ho2ErZn, optimized geometry, DFT GGA-PBE; values from VASP
&SYSTEM
  ibrav = 0, nat = 4, ntyp = 3
/
ATOMIC_SPECIES
Ho 164.93 Ho.upf
Er 167.26 Er.upf
Zn 65.41 Zn.upf
ATOMIC_POSITIONS crystal
Ho 0.073 0.073 0.781
Ho 0.261 0.261 0.218
Er 0.500 0.500 0.499
Zn 0.666 0.666 0.001
CELL_PARAMETERS angstrom
-2.657 0.395 -2.358
-3.267 -1.232 0.766
-4.359 8.644 3.652
! Space group: No. 160

#x
! Ho2ErZn, optimized geometry, DFT GGA-PBE; values from VASP
&SYSTEM
  ibrav = 0, nat = 4, ntyp = 3
/
ATOMIC_SPECIES
Zn 65.41 Zn.upf
Ho 164.93 Ho.upf
Er 167.26 Er.upf
ATOMIC_POSITIONS crystal
Zn 0.500 0.500 0.000
Ho 0.000 0.000 0.792
Ho 0.000 0.000 0.208
Er 0.500 0.500 0.500
CELL_PARAMETERS angstrom
-0.277 -3.317 -1.204
2.751 -0.959 2.010
-5.328 -1.877 6.396
! Space group: No. 123

#y
! Ho2ErZn, optimized geometry, DFT GGA-PBE; values from VASP
&SYSTEM
  ibrav = 0, nat = 4, ntyp = 3
/
ATOMIC_SPECIES
Zn 65.41 Zn.upf
Ho 164.93 Ho.upf
Er 167.26 Er.upf
ATOMIC_POSITIONS crystal
Zn 0.500 0.000 0.000
Ho 0.000 0.000 0.500
Ho 0.000 0.500 0.000
Er 0.500 0.500 0.500
CELL_PARAMETERS angstrom
-4.196 -2.123 0.273
1.889 -3.389 2.676
-1.010 2.493 3.870
! Space group: No. 123

We find #x to be the most stable, with the next structure 100 meV per atom higher.